Entry 1:
Below is a relaxed structure of La3Zn, with properties calculated at the PBE level.

Cell lengths 5.528, 5.528, 5.528 Å; angles 60.00, 60.00, 60.00 degrees
Site moments in Bohr magnetons follow the coordinates.
Atoms (fractional coordinates):
1 La 0.500 0.500 0.500  0.22
2 La 0.250 0.250 0.250  0.40
3 La 0.000 0.000 0.000  0.22
4 Zn 0.750 0.750 0.750  -0.02

Its formation energy is 31.4 meV per atom. The calculation puts the uncorrected energy at -3.983 eV per atom. Its size of the total moment is 1.5 μB per cell. As for the symmetry: No. 225. As for the density of states at the Fermi level: 5.14 states/eV/f.u.

Entry 2:
Below is a relaxed structure of La5Zn4, with properties calculated at the PBE level.

Cell lengths 3.884, 6.625, 10.883 Å; angles 75.14, 79.72, 72.95 degrees
Atoms (fractional coordinates):
1 Zn 0.454 0.277 0.815
2 Zn 0.546 0.723 0.185
3 Zn 0.597 0.409 0.398
4 Zn 0.403 0.591 0.602
5 La 0.756 0.653 0.834
6 La 0.876 0.861 0.387
7 La 0.124 0.139 0.613
8 La 0.000 0.000 0.000
9 La 0.244 0.347 0.166

Its formation energy is -210.0 meV per atom. The calculation puts the uncorrected energy at -3.514 eV per atom. Its size of the total moment is 0.0 μB per cell. As for the symmetry: No. 12. As for the density of states at the Fermi level: 9.42 states/eV/f.u.

Entry 3:
Below is a relaxed structure of La5Zn2, with properties calculated at the PBE level.

Cell lengths 6.399, 8.898, 8.401 Å; angles 97.16, 112.38, 90.00 degrees
Atoms (fractional coordinates):
1 La 0.068 0.078 0.818
2 La 0.807 0.324 0.474
3 La 0.250 0.422 0.182
4 La 0.338 0.750 0.000
5 La 0.333 0.176 0.526
6 La 0.667 0.824 0.474
7 La 0.750 0.578 0.818
8 La 0.932 0.922 0.182
9 La 0.193 0.676 0.526
10 La 0.662 0.250 0.000
11 Zn 0.240 0.427 0.798
12 Zn 0.442 0.073 0.202
13 Zn 0.558 0.927 0.798
14 Zn 0.760 0.573 0.202

Its formation energy is -114.8 meV per atom. The calculation puts the uncorrected energy at -3.998 eV per atom. Its size of the total moment is 0.0 μB per cell. As for the symmetry: No. 15. As for the density of states at the Fermi level: 9.76 states/eV/f.u.

Entry 4:
Below is a relaxed structure of La3Zn, with properties calculated at the PBE level.

Cell lengths 3.745, 6.291, 6.291 Å; angles 63.84, 78.56, 101.44 degrees
Atoms (fractional coordinates):
1 La 0.000 0.500 0.500
2 La 0.500 0.500 0.000
3 La 0.000 0.000 0.000
4 Zn 0.500 0.000 0.500

Its formation energy is 6.9 meV per atom. The calculation puts the uncorrected energy at -4.007 eV per atom. Its size of the total moment is 0.0 μB per cell. As for the symmetry: No. 166. As for the density of states at the Fermi level: 5.11 states/eV/f.u.

Entry 5:
Below is a relaxed structure of LaZn2, with properties calculated at the PBE level.

Cell lengths 4.310, 8.324, 4.310 Å; angles 75.00, 90.00, 105.00 degrees
Site moments in Bohr magnetons follow the coordinates.
Atoms (fractional coordinates):
1 La 0.000 0.000 0.000  0.09
2 La 0.750 0.500 0.750  0.09
3 Zn 0.167 0.334 0.333  0.02
4 Zn 0.583 0.166 0.417  0.02
5 Zn 0.417 0.834 0.583  0.02
6 Zn 0.333 0.666 0.167  0.02

Its formation energy is -308.5 meV per atom. The calculation puts the uncorrected energy at -2.800 eV per atom. Its size of the total moment is 0.7 μB per cell. As for the symmetry: No. 141. As for the density of states at the Fermi level: 3.98 states/eV/f.u.

Entry 6:
Below is a relaxed structure of LaZn2, with properties calculated at the PBE level.

Cell lengths 4.295, 4.295, 14.870 Å; angles 98.30, 98.30, 90.00 degrees
Atoms (fractional coordinates):
1 La 0.334 0.834 0.667
2 La 0.916 0.916 0.833
3 La 0.166 0.666 0.333
4 La 0.084 0.084 0.167
5 Zn 0.749 0.749 0.499
6 Zn 0.999 0.499 0.999
7 Zn 0.251 0.251 0.501
8 Zn 0.805 0.305 0.611
9 Zn 0.445 0.445 0.889
10 Zn 0.695 0.195 0.389
11 Zn 0.555 0.555 0.111
12 Zn 0.501 0.001 0.001

Its formation energy is -225.8 meV per atom. The calculation puts the uncorrected energy at -2.718 eV per atom. Its size of the total moment is 0.0 μB per cell. As for the symmetry: No. 141. As for the density of states at the Fermi level: 2.25 states/eV/f.u.

Entry 7:
Below is a relaxed structure of LaZn3, with properties calculated at the PBE level.

Cell lengths 8.651, 8.651, 8.651 Å; angles 148.71, 148.71, 44.84 degrees
Atoms (fractional coordinates):
1 La 0.634 0.634 0.000
2 La 0.366 0.366 0.000
3 Zn 0.500 0.000 0.500
4 Zn 0.750 0.250 0.500
5 Zn 0.000 0.500 0.500
6 Zn 0.145 0.145 0.000
7 Zn 0.855 0.855 0.000
8 Zn 0.250 0.750 0.500

Its formation energy is -181.3 meV per atom. The calculation puts the uncorrected energy at -2.369 eV per atom. Its size of the total moment is 0.0 μB per cell. As for the symmetry: No. 139. As for the density of states at the Fermi level: 2.47 states/eV/f.u.

Entry 8:
Below is a relaxed structure of LaZn, with properties calculated at the PBE level.

Cell lengths 7.777, 9.769, 11.924 Å; angles 90.00, 90.00, 90.00 degrees
Atoms (fractional coordinates):
1 La 0.500 0.806 0.500
2 La 0.500 0.194 0.500
3 La 0.250 0.056 0.750
4 La 0.500 0.694 0.000
5 La 0.000 0.806 0.000
6 La 0.000 0.194 0.000
7 La 0.250 0.556 0.250
8 La 0.750 0.444 0.250
9 La 0.250 0.444 0.750
10 La 0.750 0.556 0.750
11 La 0.750 0.056 0.250
12 La 0.000 0.694 0.500
13 La 0.500 0.306 0.000
14 La 0.250 0.944 0.250
15 La 0.750 0.944 0.750
16 La 0.000 0.306 0.500
17 Zn 0.589 0.250 0.750
18 Zn 0.411 0.250 0.250
19 Zn 0.089 0.750 0.750
20 Zn 0.089 0.250 0.250
21 Zn 0.839 0.500 0.000
22 Zn 0.339 0.500 0.500
23 Zn 0.911 0.250 0.750
24 Zn 0.161 0.500 0.000
25 Zn 0.661 0.500 0.500
26 Zn 0.839 0.000 0.500
27 Zn 0.911 0.750 0.250
28 Zn 0.339 0.000 0.000
29 Zn 0.161 0.000 0.500
30 Zn 0.661 0.000 0.000
31 Zn 0.589 0.750 0.250
32 Zn 0.411 0.750 0.750

Its formation energy is -188.0 meV per atom. The calculation puts the uncorrected energy at -3.289 eV per atom. Its size of the total moment is 0.0 μB per cell. As for the symmetry: No. 70. As for the density of states at the Fermi level: 2.24 states/eV/f.u.

Entry 9:
Below is a relaxed structure of La3Zn, with properties calculated at the PBE level.

Cell lengths 6.987, 11.114, 6.619 Å; angles 90.00, 90.00, 90.00 degrees
Atoms (fractional coordinates):
1 La 0.807 0.958 0.664
2 La 0.193 0.042 0.336
3 La 0.307 0.958 0.836
4 La 0.693 0.458 0.164
5 La 0.193 0.458 0.336
6 La 0.693 0.042 0.164
7 La 0.307 0.542 0.836
8 La 0.496 0.250 0.628
9 La 0.004 0.750 0.128
10 La 0.504 0.750 0.372
11 La 0.807 0.542 0.664
12 La 0.996 0.250 0.872
13 Zn 0.400 0.250 0.099
14 Zn 0.900 0.250 0.401
15 Zn 0.600 0.750 0.901
16 Zn 0.100 0.750 0.599

Its formation energy is -105.3 meV per atom. The calculation puts the uncorrected energy at -4.119 eV per atom. Its size of the total moment is 0.0 μB per cell. As for the symmetry: No. 62. As for the density of states at the Fermi level: 4.77 states/eV/f.u.

Entry 10:
Below is a relaxed structure of LaZn, with properties calculated at the PBE level.

Cell lengths 4.499, 6.005, 4.499 Å; angles 68.00, 90.00, 112.00 degrees
Atoms (fractional coordinates):
1 Zn 0.500 0.000 0.500
2 Zn 0.250 0.500 0.250
3 La 0.750 0.500 0.750
4 La 0.000 0.000 0.000

Its formation energy is -177.0 meV per atom. The calculation puts the uncorrected energy at -3.278 eV per atom. Its size of the total moment is 0.0 μB per cell. As for the symmetry: No. 141. As for the density of states at the Fermi level: 1.88 states/eV/f.u.

Entry 11:
Below is a relaxed structure of LaZn, with properties calculated at the PBE level.

Cell lengths 8.872, 4.458, 5.539 Å; angles 90.00, 90.00, 90.00 degrees
Atoms (fractional coordinates):
1 La 0.683 0.250 0.399
2 La 0.183 0.250 0.101
3 La 0.317 0.750 0.601
4 La 0.817 0.750 0.899
5 Zn 0.978 0.750 0.391
6 Zn 0.522 0.250 0.891
7 Zn 0.478 0.750 0.109
8 Zn 0.022 0.250 0.609

Its formation energy is -252.7 meV per atom. The calculation puts the uncorrected energy at -3.353 eV per atom. Its size of the total moment is 0.0 μB per cell. As for the symmetry: No. 62. As for the density of states at the Fermi level: 1.79 states/eV/f.u.

Entry 12:
Below is a relaxed structure of La3Zn2, with properties calculated at the PBE level.

Cell lengths 5.166, 5.166, 6.426 Å; angles 90.00, 90.00, 120.00 degrees
Atoms (fractional coordinates):
1 Zn 0.333 0.667 0.861
2 Zn 0.667 0.333 0.139
3 La 0.333 0.667 0.369
4 La 0.000 0.000 0.000
5 La 0.667 0.333 0.631

Its formation energy is -143.5 meV per atom. The calculation puts the uncorrected energy at -3.610 eV per atom. Its size of the total moment is 0.0 μB per cell. As for the symmetry: No. 164. As for the density of states at the Fermi level: 6.33 states/eV/f.u.